Record 1
Computed, not measured: InRe after structural relaxation at the PBE level of DFT.

Cell and atoms, written as POSCAR:
```
InRe
1.0
5.236 -1.526 0.000
5.236 1.526 0.000
-1.803 0.000 4.593
In Re
2 2
Direct
0.105 0.105 0.314 In
0.895 0.895 0.686 In
0.346 0.346 0.160 Re
0.654 0.654 0.840 Re
```

Summary:
E above lowest polymorph (meV per atom): 375
ΔH_f (0 K) (eV/atom): 0.57

Record 2
Computed, not measured: InRe2 after structural relaxation at the PBE level of DFT.

Cell and atoms, written as POSCAR:
```
InRe2
1.0
2.027 -6.379 0.000
2.027 6.379 0.000
0.000 0.000 4.200
In Re
2 4
Direct
0.077 0.923 0.750 In
0.923 0.077 0.250 In
0.251 0.749 0.250 Re
0.373 0.627 0.750 Re
0.627 0.373 0.250 Re
0.749 0.251 0.750 Re
```

Summary:
ΔH_f (0 K) (eV/atom): 0.50

Record 3
Computed, not measured: InRe after structural relaxation at the PBE level of DFT.

Cell and atoms, written as POSCAR:
```
InRe
1.0
5.349 -1.468 0.000
5.349 1.468 0.000
-2.003 0.000 7.025
In Re
3 3
Direct
0.000 0.000 0.000 In
0.003 0.003 0.590 In
0.320 0.320 0.217 In
0.281 0.281 0.617 Re
0.625 0.625 0.348 Re
0.711 0.711 0.871 Re
```

Summary:
E above lowest polymorph (meV per atom): 322
ΔH_f (0 K) (eV/atom): 0.52

Record 4
Computed, not measured: InRe5 after structural relaxation at the PBE level of DFT.

Cell and atoms, written as POSCAR:
```
InRe5
1.0
5.155 -1.434 0.000
5.155 1.434 0.000
-1.757 0.000 6.398
In Re
1 5
Direct
0.000 0.000 0.000 In
0.046 0.046 0.590 Re
0.323 0.323 0.652 Re
0.365 0.365 0.266 Re
0.665 0.665 0.344 Re
0.718 0.718 0.916 Re
```

Summary:
E above lowest polymorph (meV per atom): 0
ΔH_f (0 K) (eV/atom): 0.26

Record 5
Computed, not measured: InRe after structural relaxation at the PBE level of DFT.

Cell and atoms, written as POSCAR:
```
InRe
1.0
-2.126 2.126 3.888
2.126 -2.126 3.888
2.126 2.126 -3.888
In Re
2 2
Direct
0.375 0.625 0.750 In
0.625 0.375 0.250 In
0.125 0.875 0.250 Re
0.875 0.125 0.750 Re
```

Summary:
E above lowest polymorph (meV per atom): 521
ΔH_f (0 K) (eV/atom): 0.72

Record 6
Computed, not measured: InRe after structural relaxation at the PBE level of DFT.

Cell and atoms, written as POSCAR:
```
InRe
1.0
2.926 0.000 0.000
0.000 14.724 0.000
0.000 0.000 4.967
In Re
6 6
Direct
0.250 0.088 0.063 In
0.250 0.412 0.063 In
0.250 0.750 0.727 In
0.750 0.250 0.273 In
0.750 0.588 0.937 In
0.750 0.912 0.937 In
0.250 0.250 0.758 Re
0.250 0.573 0.433 Re
0.250 0.927 0.433 Re
0.750 0.073 0.567 Re
0.750 0.427 0.567 Re
0.750 0.750 0.242 Re
```

Summary:
E above lowest polymorph (meV per atom): 482
ΔH_f (0 K) (eV/atom): 0.68

Number 1: D(E_F) 3.50 states/eV/cell, raw total energy -0.258 Ha/atom. Number 2: D(E_F) 4.58 states/eV/cell, raw total energy -0.320 Ha/atom. Number 3: D(E_F) 3.27 states/eV/cell, raw total energy -0.260 Ha/atom. Number 4: D(E_F) 4.68 states/eV/cell, raw total energy -0.388 Ha/atom. Number 5: D(E_F) 2.47 states/eV/cell, raw total energy -0.253 Ha/atom. Number 6: D(E_F) 7.83 states/eV/cell, raw total energy -0.254 Ha/atom.